Entry 1:
The following is a DFT calculation (meta-GGA SCAN) of a crystal of RbSbCl2F relaxed with PBEsol.

Values from the calculation:
The calculation puts the total energy at -17.0163 eV per atom. The formation energy (no corrections) is -1.517 eV/atom. The value obtained for the density of states at the Fermi level is 1.42 states/eV/f.u.

Cell: 4.403 5.640 5.640 Å, 90.00 90.00 90.00°
Fractional coordinates of all 5 atoms:
1 F 0.500 0.000 0.000
2 Cl 0.000 0.000 0.500
3 Cl 0.000 0.500 0.000
4 Sb 0.000 0.000 0.000
5 Rb 0.500 0.500 0.500

---

Entry 2:
The following is a DFT calculation (meta-GGA SCAN) of a crystal of Li2AgIr relaxed with PBEsol.

Values from the calculation:
The calculation puts the total energy at -27.0188 eV per atom. The value obtained for the density of states at the Fermi level is 1.88 states/eV/f.u.

Cell: 2.708 2.708 9.064 Å, 81.41 81.41 60.00°
Fractional coordinates of all 4 atoms:
1 Ir 0.000 0.000 0.000
2 Li 0.744 0.744 0.768
3 Li 0.256 0.256 0.232
4 Ag 0.500 0.500 0.500